1.
# Tb2TlHg9

Crystalline Tb2TlHg9 at its relaxed geometry (PBE, Alexandria via LeMat-Bulk).

Results
Raw total energy ... -1.41 eV per atom

Lattice parameters (Å, degrees): 4.5628 4.5628 14.7997 90.00 90.00 90.00
Closest atoms and distances in Å follow each position.
Positions (direct):
Tb 0.0000 0.0000 0.1658  12 Hg 3.22-3.35
Tb 0.0000 0.0000 0.8342  12 Hg 3.22-3.35
Tl 0.0000 0.0000 0.5000  12 Hg 3.23-3.51
Hg 0.0000 0.5000 0.0000  8 Hg 3.20-3.23, 4 Tb 3.35
Hg 0.0000 0.5000 0.3197  2 Tb 3.22, 8 Hg 3.23-3.51, 2 Tl 3.51
Hg 0.0000 0.5000 0.6803  2 Tb 3.22, 8 Hg 3.23-3.51, 2 Tl 3.51
Hg 0.5000 0.0000 0.0000  8 Hg 3.20-3.23, 4 Tb 3.35
Hg 0.5000 0.0000 0.3197  2 Tb 3.22, 8 Hg 3.23-3.51, 2 Tl 3.51
Hg 0.5000 0.0000 0.6803  2 Tb 3.22, 8 Hg 3.23-3.51, 2 Tl 3.51
Hg 0.5000 0.5000 0.1515  8 Hg 3.20-3.38, 4 Tb 3.23
Hg 0.5000 0.5000 0.5000  4 Tl 3.23, 8 Hg 3.51
Hg 0.5000 0.5000 0.8485  8 Hg 3.20-3.38, 4 Tb 3.23

=====

2.
# Tb4TlHg3

Crystalline Tb4TlHg3 at its relaxed geometry (PBE, Alexandria via LeMat-Bulk).

Results
Raw total energy ... -3.17 eV per atom

Lattice parameters (Å, degrees): 3.7380 3.7380 15.1652 90.00 90.00 90.00
Closest atoms and distances in Å follow each position.
Positions (direct):
Tb 0.0000 0.0000 0.1231  8 Hg 3.23-3.24
Tb 0.0000 0.0000 0.3680  4 Hg 3.23, 4 Tl 3.32
Tb 0.0000 0.0000 0.6320  4 Hg 3.23, 4 Tl 3.32
Tb 0.0000 0.0000 0.8769  8 Hg 3.23-3.24
Tl 0.5000 0.5000 0.5000  8 Tb 3.32
Hg 0.5000 0.5000 0.0000  8 Tb 3.24
Hg 0.5000 0.5000 0.2457  8 Tb 3.23
Hg 0.5000 0.5000 0.7543  8 Tb 3.23

=====

3.
# Tb7Tl2Hg

Crystalline Tb7Tl2Hg at its relaxed geometry (PBE, Alexandria via LeMat-Bulk).

Results
Raw total energy ... -3.82 eV per atom

Lattice parameters (Å, degrees): 5.2803 5.2803 12.8129 90.00 90.00 120.00
Closest atoms and distances in Å follow each position.
Positions (direct):
Tb 0.0000 0.0000 0.0000  8 Tb 3.33-3.48, 3 Hg 3.55, 3 Tl 3.64
Tb 0.0000 0.0000 0.2595  1 Tl 3.05, 1 Tb 3.33, 3 Hg 3.40
Tb 0.0000 0.0000 0.7356  4 Tl 3.05-3.35, 1 Tb 3.39
Tb 0.3333 0.6667 0.4066  3 Tl 3.26, 1 Hg 3.39, 3 Tb 3.58
Tb 0.3333 0.6667 0.8833  3 Tl 3.09, 1 Hg 3.31, 3 Tb 3.40
Tb 0.6667 0.3333 0.1310  3 Hg 3.05
Tb 0.6667 0.3333 0.5798  4 Tl 3.23-3.40
Tl 0.0000 0.0000 0.4974  8 Tb 3.05-3.26
Tl 0.6667 0.3333 0.8448  7 Tb 3.09-3.40
Hg 0.3333 0.6667 0.1417  8 Tb 3.05-3.40

=====

4.
# Tb2Tl2Hg

Crystalline Tb2Tl2Hg at its relaxed geometry (PBE, Alexandria via LeMat-Bulk).

Results
Raw total energy ... -3.11 eV per atom

Lattice parameters (Å, degrees): 10.8986 10.8986 3.5639 90.00 90.00 160.70
Closest atoms and distances in Å follow each position.
Positions (direct):
Tb 0.0920 0.9080 0.0000  4 Hg 3.23, 4 Tl 3.31, 2 Tb 3.56
Tb 0.9080 0.0920 0.0000  4 Hg 3.23, 4 Tl 3.31, 2 Tb 3.56
Tl 0.3097 0.6903 0.5000  2 Tl 3.15, 4 Tb 3.31
Tl 0.6903 0.3097 0.5000  2 Tl 3.15, 4 Tb 3.31
Hg 0.5000 0.5000 0.5000  8 Tb 3.23, 2 Hg 3.56

=====

5.
# Tb12Tl3Hg

Crystalline Tb12Tl3Hg at its relaxed geometry (PBE, Alexandria via LeMat-Bulk).

Results
Raw total energy ... -4.11 eV per atom

Lattice parameters (Å, degrees): 4.8587 4.8587 19.4177 90.00 90.00 90.00
Closest atoms and distances in Å follow each position.
Positions (direct):
Tb 0.0000 0.0000 0.0000  8 Tb 3.40, 4 Hg 3.44
Tb 0.0000 0.0000 0.2483  4 Tl 3.44, 8 Tb 3.44-3.45
Tb 0.0000 0.0000 0.5000  4 Tl 3.44, 8 Tb 3.44
Tb 0.0000 0.0000 0.7517  4 Tl 3.44, 8 Tb 3.44-3.45
Tb 0.0000 0.5000 0.1228  2 Hg 3.40, 8 Tb 3.40-3.44, 2 Tl 3.45
Tb 0.0000 0.5000 0.3746  8 Tb 3.44-3.45, 4 Tl 3.44
Tb 0.0000 0.5000 0.6254  8 Tb 3.44-3.45, 4 Tl 3.44
Tb 0.0000 0.5000 0.8772  8 Tb 3.40-3.44, 2 Hg 3.40, 2 Tl 3.45
Tb 0.5000 0.0000 0.1228  2 Hg 3.40, 8 Tb 3.40-3.44, 2 Tl 3.45
Tb 0.5000 0.0000 0.3746  8 Tb 3.44-3.45, 4 Tl 3.44
Tb 0.5000 0.0000 0.6254  8 Tb 3.44-3.45, 4 Tl 3.44
Tb 0.5000 0.0000 0.8772  8 Tb 3.40-3.44, 2 Hg 3.40, 2 Tl 3.45
Tl 0.5000 0.5000 0.2489  12 Tb 3.44-3.45
Tl 0.5000 0.5000 0.5000  12 Tb 3.44
Tl 0.5000 0.5000 0.7511  12 Tb 3.44-3.45
Hg 0.5000 0.5000 0.0000  12 Tb 3.40-3.44

=====

6.
# Tb3TlHg3

Crystalline Tb3TlHg3 at its relaxed geometry (PBE, Alexandria via LeMat-Bulk).

Results
Raw total energy ... -2.77 eV per atom

Lattice parameters (Å, degrees): 7.1931 7.1931 7.4680 90.34 90.34 91.19
Closest atoms and distances in Å follow each position.
Positions (direct):
Tb 0.0438 0.4539 0.7459  6 Hg 3.12-3.48, 1 Tl 3.18
Tb 0.0583 0.0583 0.2539  5 Hg 3.13-3.17, 1 Tl 3.21
Tb 0.4539 0.0438 0.7459  6 Hg 3.12-3.48, 1 Tl 3.18
Tb 0.5461 0.9562 0.2541  6 Hg 3.12-3.48, 1 Tl 3.18
Tb 0.9417 0.9417 0.7461  5 Hg 3.13-3.17, 1 Tl 3.21
Tb 0.9562 0.5461 0.2541  6 Hg 3.12-3.48, 1 Tl 3.18
Tl 0.3349 0.3349 0.0430  3 Hg 3.08-3.20, 3 Tb 3.18-3.21, 1 Tl 3.39
Tl 0.6651 0.6651 0.9570  3 Hg 3.08-3.20, 3 Tb 3.18-3.21, 1 Tl 3.39
Hg 0.2358 0.7642 0.0000  6 Tb 3.13-3.21, 2 Tl 3.20
Hg 0.2445 0.7555 0.5000  6 Tb 3.12-3.18, 2 Hg 3.14
Hg 0.3326 0.3326 0.4554  1 Tl 3.08, 3 Tb 3.13-3.14, 3 Hg 3.14-3.43
Hg 0.6674 0.6674 0.5446  1 Tl 3.08, 3 Tb 3.13-3.14, 3 Hg 3.14-3.43
Hg 0.7555 0.2445 0.5000  6 Tb 3.12-3.18, 2 Hg 3.14
Hg 0.7642 0.2358 0.0000  6 Tb 3.13-3.21, 2 Tl 3.20

=====

7.
# Tb2TlHg8

Crystalline Tb2TlHg8 at its relaxed geometry (PBE, Alexandria via LeMat-Bulk).

Results
Raw total energy ... -1.47 eV per atom

Lattice parameters (Å, degrees): 9.1849 9.1849 9.1849 148.45 135.09 55.91
Closest atoms and distances in Å follow each position.
Positions (direct):
Tb 0.1984 0.1984 0.0000  8 Hg 3.08-3.30
Tb 0.8016 0.8016 0.0000  8 Hg 3.08-3.30
Tl 0.5000 0.5000 0.0000  8 Hg 3.03-3.23
Hg 0.0814 0.3562 0.7252  1 Tl 3.03, 3 Tb 3.08-3.20, 3 Hg 3.16-3.18
Hg 0.2071 0.0000 0.2071  1 Hg 2.91, 2 Tl 3.23
Hg 0.3311 0.8311 0.5000  8 Hg 3.18-3.43, 4 Tb 3.30-3.54
Hg 0.3691 0.6438 0.7252  1 Tl 3.03, 3 Tb 3.08-3.20, 3 Hg 3.16-3.18
Hg 0.6309 0.3562 0.2748  1 Tl 3.03, 3 Tb 3.08-3.20, 3 Hg 3.16-3.18
Hg 0.6689 0.1689 0.5000  8 Hg 3.18-3.43, 4 Tb 3.30-3.54
Hg 0.7929 0.0000 0.7929  1 Hg 2.91, 2 Tl 3.23
Hg 0.9186 0.6438 0.2748  1 Tl 3.03, 3 Tb 3.08-3.20, 3 Hg 3.16-3.18

=====

8.
# Tb4Tl2Hg3

Crystalline Tb4Tl2Hg3 at its relaxed geometry (PBE, Alexandria via LeMat-Bulk).

Results
Raw total energy ... -2.95 eV per atom

Lattice parameters (Å, degrees): 8.6422 8.6422 9.0729 90.00 90.00 130.58
Closest atoms and distances in Å follow each position.
Positions (direct):
Tb 0.1890 0.8110 0.9634  5 Hg 2.99-3.21, 1 Tl 3.27
Tb 0.2210 0.2790 0.7500  3 Hg 2.94-3.03
Tb 0.2790 0.2210 0.2500  3 Hg 2.94-3.03
Tb 0.3110 0.6890 0.4634  5 Hg 2.99-3.21, 1 Tl 3.27
Tb 0.6890 0.3110 0.5366  5 Hg 2.99-3.21, 1 Tl 3.27
Tb 0.7210 0.7790 0.7500  3 Hg 2.94-3.03
Tb 0.7790 0.7210 0.2500  3 Hg 2.94-3.03
Tb 0.8110 0.1890 0.0366  5 Hg 2.99-3.21, 1 Tl 3.27
Tl 0.1110 0.8890 0.5622  5 Tb 3.27-3.60, 2 Hg 3.61
Tl 0.3890 0.6110 0.0622  5 Tb 3.27-3.60, 2 Hg 3.61
Tl 0.6110 0.3890 0.9378  5 Tb 3.27-3.60, 2 Hg 3.61
Tl 0.8890 0.1110 0.4378  5 Tb 3.27-3.60, 2 Hg 3.61
Hg 0.0000 0.0000 0.0000  6 Tb 2.94-2.99
Hg 0.0282 0.4718 0.7500  5 Tb 3.00-3.21
Hg 0.4718 0.0282 0.2500  5 Tb 3.00-3.21
Hg 0.5000 0.5000 0.5000  6 Tb 2.94-2.99
Hg 0.5282 0.9718 0.7500  5 Tb 3.00-3.21
Hg 0.9718 0.5282 0.2500  5 Tb 3.00-3.21

=====

9.
# Tb2TlHg

Crystalline Tb2TlHg at its relaxed geometry (PBE, Alexandria via LeMat-Bulk).

Results
Raw total energy ... -3.40 eV per atom

Lattice parameters (Å, degrees): 3.7745 3.7745 7.5581 90.00 90.00 90.00
Closest atoms and distances in Å follow each position.
Positions (direct):
Tb 0.0000 0.0000 0.2412  4 Hg 3.23, 4 Tl 3.31
Tb 0.0000 0.0000 0.7588  4 Hg 3.23, 4 Tl 3.31
Tl 0.5000 0.5000 0.5000  8 Tb 3.31
Hg 0.5000 0.5000 0.0000  8 Tb 3.23

=====

10.
# Tb5TlHg4

Crystalline Tb5TlHg4 at its relaxed geometry (PBE, Alexandria via LeMat-Bulk).

Results
Raw total energy ... -3.13 eV per atom

Lattice parameters (Å, degrees): 3.7453 3.7453 18.8425 90.00 90.00 90.00
Closest atoms and distances in Å follow each position.
Positions (direct):
Tb 0.0000 0.0000 0.0000  8 Hg 3.25
Tb 0.0000 0.0000 0.1976  8 Hg 3.23-3.24
Tb 0.0000 0.0000 0.3942  4 Hg 3.23, 4 Tl 3.31
Tb 0.0000 0.0000 0.6058  4 Hg 3.23, 4 Tl 3.31
Tb 0.0000 0.0000 0.8024  8 Hg 3.23-3.24
Tl 0.5000 0.5000 0.5000  8 Tb 3.31
Hg 0.5000 0.5000 0.0997  8 Tb 3.23-3.25
Hg 0.5000 0.5000 0.2962  8 Tb 3.23-3.24
Hg 0.5000 0.5000 0.7038  8 Tb 3.23-3.24
Hg 0.5000 0.5000 0.9003  8 Tb 3.23-3.25

=====

11.
# TbTlHg4

Crystalline TbTlHg4 at its relaxed geometry (PBE, Alexandria via LeMat-Bulk).

Results
Raw total energy ... -1.43 eV per atom

Lattice parameters (Å, degrees): 6.0514 6.0514 6.0514 60.00 60.00 60.00
Closest atoms and distances in Å follow each position.
Positions (direct):
Tb 0.0000 0.0000 0.0000  12 Hg 3.55, 4 Tl 3.71
Tl 0.2500 0.2500 0.2500  12 Hg 3.55, 4 Tb 3.71
Hg 0.1241 0.6253 0.6253  6 Hg 3.02-3.03
Hg 0.6253 0.1241 0.6253  6 Hg 3.02-3.03
Hg 0.6253 0.6253 0.1241  6 Hg 3.02-3.03
Hg 0.6253 0.6253 0.6253  6 Hg 3.02-3.03

=====

12.
# Tb4TlHg2

Crystalline Tb4TlHg2 at its relaxed geometry (PBE, Alexandria via LeMat-Bulk).

Results
Raw total energy ... -3.37 eV per atom

Lattice parameters (Å, degrees): 6.4296 6.4296 6.4296 109.17 109.17 110.08
Closest atoms and distances in Å follow each position.
Positions (direct):
Tb 0.0000 0.0000 0.5000  4 Hg 3.21, 2 Tl 3.21
Tb 0.0000 0.5000 0.0000  4 Hg 3.21, 2 Tl 3.21
Tb 0.5000 0.0000 0.0000  4 Hg 3.21, 2 Tl 3.21
Tb 0.5000 0.5000 0.5000  4 Hg 3.21, 2 Tl 3.21
Tl 0.0000 0.0000 0.0000  8 Tb 3.21
Hg 0.0000 0.5000 0.5000  8 Tb 3.21
Hg 0.5000 0.0000 0.5000  8 Tb 3.21

=====

Calculated M_tot (μB per atom), listed in the same order as above: 0.0000; 0.0754; 0.1014; 0.0672; 0.1953; 0.0000; 0.0000; 0.0000; 0.0593; 0.0692; 0.0000; 0.0000
Calculated density (g/cm³), listed in the same order as above: 12.5; 11.3; 9.2; 11.0; 9.9; 11.0; 12.4; 10.6; 11.1; 11.3; 12.4; 10.1